Record 1
First-principles (PBE) data for a relaxed structure of PrErScRu, as listed in Alexandria via LeMat-Bulk.

POSCAR file:
```
PrErScRu
1.0
-0.925 -2.935 -1.363
3.083 -1.230 0.556
-2.563 -2.857 7.892
Pr Er Ru Sc
1 1 1 1
Direct
0.000 0.000 0.084
0.500 0.500 0.749
0.000 0.000 0.559
0.500 0.500 0.393
```

* SG: No. 99
* energy of formation: -0.292 eV per atom

=====

Record 2
First-principles (PBE) data for a relaxed structure of Pm6CuHg5, as listed in Alexandria via LeMat-Bulk.

POSCAR file:
```
Pm6CuHg5
1.0
-4.993 -1.717 0.727
0.660 -4.507 -6.107
0.554 -9.007 1.955
Pm Hg Cu
6 5 1
Direct
0.500 0.763 0.000
0.838 0.595 0.323
0.838 0.081 0.323
0.500 0.237 0.000
0.162 0.919 0.677
0.162 0.405 0.677
0.000 0.500 0.000
0.672 0.172 0.656
0.328 0.828 0.344
0.333 0.334 0.333
0.667 0.666 0.667
0.000 0.000 0.000
```

* SG: No. 12
* energy of formation: -0.409 eV per atom

=====

Record 3
First-principles (PBE) data for a relaxed structure of Sc3CoI, as listed in Alexandria via LeMat-Bulk.

POSCAR file:
```
Sc3CoI
1.0
-4.411 1.177 -1.838
1.480 -1.432 -4.469
-1.604 -4.559 0.930
Sc Co I
3 1 1
Direct
0.500 0.000 0.000
0.000 0.500 0.000
0.000 0.000 0.500
0.000 0.000 0.000
0.500 0.500 0.500
```

* SG: No. 221
* E_form (uncorrected): -160.0 meV per atom

=====

Record 4
First-principles (PBE) data for a relaxed structure of NaPaNbO6, as listed in Alexandria via LeMat-Bulk.

POSCAR file:
```
NaPaNbO6
1.0
4.831 0.000 0.000
0.000 5.487 0.000
0.000 -2.743 4.752
Na Pa O Nb
1 1 6 1
Direct
0.500 0.667 0.333
0.000 0.333 0.667
0.263 0.681 0.964
0.737 0.036 0.319
0.737 0.681 0.718
0.737 0.282 0.964
0.263 0.282 0.319
0.263 0.036 0.718
0.500 0.000 0.000
```

* SG: No. 149
* E_form (uncorrected): -2562.9 meV per atom

=====

Number 1: total magnetic moment 0.00 μB per atom, DFT total energy -26.12 eV/f.u.. Number 2: total magnetic moment 0.15 μB per atom, DFT total energy -39.02 eV/f.u.. Number 3: total magnetic moment 0.00 μB per atom, DFT total energy -28.45 eV/f.u.. Number 4: total magnetic moment 0.11 μB per atom, DFT total energy -73.70 eV/f.u..